Entry 1:
10
Lattice="8.0504 0.0000 0.0000 0.0000 8.0504 0.0000 0.0000 0.0000 2.9385" Properties=species:S:1:pos:R:3 comment="Cr2As2Br, relaxed, DFT PBE-GGA" de_polymorph_ev_per_atom=0.2641 e_form_raw_ev_per_atom=0.324 final_energy_ev_per_atom=-5.720 spacegroup="P4/mbm (127)" pbc="T T T"
Cr 1.1992 2.8260 0.0000
Cr 2.8260 6.8512 0.0000
Cr 5.2245 1.1992 0.0000
Cr 6.8512 5.2245 0.0000
As 1.0832 5.1084 1.4692
As 2.9420 1.0832 1.4692
As 5.1084 6.9672 1.4692
As 6.9672 2.9420 1.4692
Br 0.0000 0.0000 1.4692
Br 4.0252 4.0252 1.4692

***

Entry 2:
5
Lattice="6.1511 0.0000 0.0000 0.0000 6.1511 0.0000 0.0000 0.0000 4.5927" Properties=species:S:1:pos:R:3 comment="Sr2ZnSbSe, relaxed, DFT PBE-GGA" e_form_raw_ev_per_atom=-0.417 final_energy_ev_per_atom=-2.866 spacegroup="P4/mmm (123)" pbc="T T T"
Sr 0.0000 3.0756 0.0000
Sr 3.0756 0.0000 0.0000
Zn 0.0000 0.0000 0.0000
Sb 3.0756 3.0756 2.2964
Se 0.0000 0.0000 2.2964

***

Entry 3:
4
Lattice="1.9249 1.1113 7.2672 -1.9249 1.1113 7.2672 0.0000 -2.2227 7.2672" Properties=species:S:1:pos:R:3 comment="CuSnS2, relaxed, DFT PBE-GGA" e_form_raw_ev_per_atom=-0.176 final_energy_ev_per_atom=-4.264 spacegroup="R3m (160)" pbc="T T T"
Cu 0.0000 0.0000 0.0000
Sn 0.0000 0.0000 11.1118
S 0.0000 0.0000 2.3587
S 0.0000 0.0000 14.0805

***

Number 3 is which compound? CuSnS2

***

What did the second record say?
5
Lattice="6.1511 0.0000 0.0000 0.0000 6.1511 0.0000 0.0000 0.0000 4.5927" Properties=species:S:1:pos:R:3 comment="Sr2ZnSbSe, relaxed, DFT PBE-GGA" e_form_raw_ev_per_atom=-0.417 final_energy_ev_per_atom=-2.866 spacegroup="P4/mmm (123)" pbc="T T T"
Sr 0.0000 3.0756 0.0000
Sr 3.0756 0.0000 0.0000
Zn 0.0000 0.0000 0.0000
Sb 3.0756 3.0756 2.2964
Se 0.0000 0.0000 2.2964